(1)
Density functional theory data (SCAN) for a crystal of AlOsRu2 relaxed with PBEsol.

Cell lengths 4.3693, 4.3693, 2.8654 Å; angles 90.00, 90.00, 90.00 degrees
Element x y z (fractional)
1 Al 0.0000 0.0000 0.0000
2 Os 0.5000 0.5000 0.0000
3 Ru 0.0000 0.5000 0.5000
4 Ru 0.5000 0.0000 0.5000

Computed properties:
Energy relative to the elements = -0.1197 eV/atom
E = -149.76 eV per formula unit
Symmetry = P4/mmm (123)
M_tot = 1.1 μB/f.u.

(2)
Density functional theory data (SCAN) for a crystal of CaLa2Sb2 relaxed with PBEsol.

Cell lengths 8.4415, 8.4415, 4.3675 Å; angles 90.00, 90.00, 90.00 degrees
Element x y z (fractional)
1 Ca 0.0000 0.0000 0.0000
2 Ca 0.5000 0.5000 0.0000
3 La 0.1530 0.3470 0.5000
4 La 0.3470 0.8470 0.5000
5 La 0.6530 0.1530 0.5000
6 La 0.8470 0.6530 0.5000
7 Sb 0.1507 0.6507 0.0000
8 Sb 0.3493 0.1507 0.0000
9 Sb 0.6507 0.8493 0.0000
10 Sb 0.8493 0.3493 0.0000

Computed properties:
Formation energy (no corrections) = -1.189 eV per atom
E = -176.34 eV per formula unit
Symmetry = P4/mbm (127)
M_tot = 0.0 μB/f.u.

(3)
Density functional theory data (SCAN) for a crystal of TiW2CO relaxed with PBEsol.

Cell lengths 3.9775, 3.9775, 3.8930 Å; angles 90.00, 90.00, 90.00 degrees
Element x y z (fractional)
1 Ti 0.0000 0.0000 0.0000
2 W 0.0000 0.5000 0.5000
3 W 0.5000 0.0000 0.5000
4 C 0.5000 0.5000 0.0000
5 O 0.0000 0.0000 0.5000

Computed properties:
Formation energy (no corrections) = 0.768 eV per atom
E = -167.90 eV per formula unit
Symmetry = P4/mmm (123)
M_tot = 0.0 μB/f.u.

(4)
Density functional theory data (SCAN) for a crystal of HfTi2P2 relaxed with PBEsol.

Cell lengths 6.6767, 6.6767, 3.3389 Å; angles 90.00, 90.00, 90.00 degrees
Element x y z (fractional)
1 Hf 0.0000 0.0000 0.0000
2 Hf 0.5000 0.5000 0.0000
3 Ti 0.1588 0.3412 0.5000
4 Ti 0.3412 0.8412 0.5000
5 Ti 0.6588 0.1588 0.5000
6 Ti 0.8412 0.6588 0.5000
7 P 0.1361 0.6361 0.0000
8 P 0.3639 0.1361 0.0000
9 P 0.6361 0.8639 0.0000
10 P 0.8639 0.3639 0.0000

Computed properties:
Energy relative to the elements = -1.1713 eV/atom
E = -121.39 eV per formula unit
Symmetry = P4/mbm (127)
M_tot = 0.0 μB/f.u.

(5)
Density functional theory data (SCAN) for a crystal of Co2TcPb relaxed with PBEsol.

Cell lengths 2.9758, 2.9758, 6.5490 Å; angles 90.00, 90.00, 90.00 degrees
Element x y z (fractional)
1 Co 0.0000 0.0000 0.0000
2 Co 0.5000 0.5000 0.1925
3 Tc 0.5000 0.5000 0.7974
4 Pb 0.0000 0.0000 0.4731

Computed properties:
Energy relative to the elements = 0.5601 eV/atom
E = -143.21 eV per formula unit
Symmetry = P4mm (99)
M_tot = 3.1 μB/f.u.

(6)
Density functional theory data (SCAN) for a crystal of CaPdPb relaxed with PBEsol.

Cell lengths 7.2194, 4.6618, 8.2022 Å; angles 90.00, 90.00, 90.00 degrees
Element x y z (fractional)
1 Ca 0.0200 0.2500 0.1920
2 Ca 0.4800 0.7500 0.6920
3 Ca 0.5200 0.2500 0.3080
4 Ca 0.9800 0.7500 0.8080
5 Pd 0.2209 0.7500 0.3956
6 Pd 0.2791 0.2500 0.8956
7 Pd 0.7209 0.7500 0.1044
8 Pd 0.7791 0.2500 0.6044
9 Pb 0.1729 0.2500 0.5740
10 Pb 0.3271 0.7500 0.0740
11 Pb 0.6729 0.2500 0.9260
12 Pb 0.8271 0.7500 0.4260

Computed properties:
Energy relative to the elements = -0.7423 eV/atom
E = -120.45 eV per formula unit
Symmetry = Pnma (62)
M_tot = 0.0 μB/f.u.

(7)
Density functional theory data (SCAN) for a crystal of TlReRh3 relaxed with PBEsol.

Cell lengths 4.6753, 4.6753, 4.6753 Å; angles 90.00, 90.00, 90.00 degrees
Element x y z (fractional)
1 Tl 0.0000 0.0000 0.0000
2 Re 0.5000 0.5000 0.5000
3 Rh 0.0000 0.5000 0.5000
4 Rh 0.5000 0.0000 0.5000
5 Rh 0.5000 0.5000 0.0000

Computed properties:
Energy relative to the elements = 1.0578 eV/atom
E = -239.48 eV per formula unit
Symmetry = Pm-3m (221)
M_tot = 0.0 μB/f.u.

(8)
Density functional theory data (SCAN) for a crystal of BaZr2In relaxed with PBEsol.

Cell lengths 3.3525, 3.9283, 8.4753 Å; angles 90.00, 90.00, 90.00 degrees
Element x y z (fractional)
1 Ba 0.0000 0.0000 0.0000
2 Zr 0.0000 0.0000 0.4816
3 Zr 0.5000 0.5000 0.6693
4 In 0.5000 0.5000 0.2913

Computed properties:
Energy relative to the elements = 0.0132 eV/atom
E = -134.28 eV per formula unit
Symmetry = Pmm2 (25)
M_tot = 0.0 μB/f.u.

(9)
Density functional theory data (SCAN) for a crystal of CaZrPF2 relaxed with PBEsol.

Cell lengths 4.3091, 4.3091, 5.5472 Å; angles 90.00, 90.00, 90.00 degrees
Element x y z (fractional)
1 Ca 0.0000 0.0000 0.0000
2 Zr 0.5000 0.5000 0.0000
3 P 0.0000 0.0000 0.5000
4 F 0.0000 0.5000 0.5000
5 F 0.5000 0.0000 0.5000

Computed properties:
Formation energy (no corrections) = -0.129 eV per atom
E = -58.49 eV per formula unit
Symmetry = P4/mmm (123)
M_tot = 2.1 μB/f.u.

(10)
Density functional theory data (SCAN) for a crystal of La2MgCrSn relaxed with PBEsol.

Cell lengths 6.0305, 6.0305, 4.9623 Å; angles 90.00, 90.00, 90.00 degrees
Element x y z (fractional)
1 La 0.0000 0.5000 0.0000
2 La 0.5000 0.0000 0.0000
3 Mg 0.0000 0.0000 0.5000
4 Cr 0.5000 0.5000 0.5000
5 Sn 0.5000 0.5000 0.0000

Computed properties:
Energy relative to the elements = 0.2155 eV/atom
E = -144.41 eV per formula unit
Symmetry = P4/mmm (123)
M_tot = 3.2 μB/f.u.

(11)
Density functional theory data (SCAN) for a crystal of TiMn2GaCo relaxed with PBEsol.

Cell lengths 4.4046, 4.4046, 4.1978 Å; angles 90.00, 90.00, 90.00 degrees
Element x y z (fractional)
1 Ti 0.0000 0.0000 0.0000
2 Mn 0.0000 0.5000 0.5000
3 Mn 0.5000 0.0000 0.5000
4 Ga 0.5000 0.5000 0.0000
5 Co 0.0000 0.0000 0.5000

Computed properties:
Energy relative to the elements = 0.3356 eV/atom
E = -84.51 eV per formula unit
Symmetry = P4/mmm (123)
M_tot = 7.9 μB/f.u.

(12)
Density functional theory data (SCAN) for a crystal of Sc2AlSi2 relaxed with PBEsol.

Cell lengths 6.5447, 6.5447, 3.9600 Å; angles 90.00, 90.00, 90.00 degrees
Element x y z (fractional)
1 Sc 0.1755 0.3245 0.0000
2 Sc 0.3245 0.8245 0.0000
3 Sc 0.6755 0.1755 0.0000
4 Sc 0.8245 0.6755 0.0000
5 Al 0.0000 0.0000 0.5000
6 Al 0.5000 0.5000 0.5000
7 Si 0.1266 0.6266 0.5000
8 Si 0.3734 0.1266 0.5000
9 Si 0.6266 0.8734 0.5000
10 Si 0.8734 0.3734 0.5000

Computed properties:
Formation energy (no corrections) = -0.735 eV per atom
E = -59.93 eV per formula unit
Symmetry = P4/mbm (127)
M_tot = 0.0 μB/f.u.

Question: Among the records above, which one has the lowest E?
Answer: TlReRh3